# PBE+U LiMnNO2, relaxed
data_LiMnNO2
_chemical_formula_sum 'Li1 Mn1 N1 O2'
_symmetry_space_group_name_H-M 'P 1'
_symmetry_Int_Tables_number 1
_symmetry_space_group_name_Hall 'P 1'
_cell_length_a 3.811
_cell_length_b 3.811
_cell_length_c 3.780
_cell_angle_alpha 90.00
_cell_angle_beta 90.00
_cell_angle_gamma 90.00
loop_
_atom_site_label
_atom_site_fract_x
_atom_site_fract_y
_atom_site_fract_z
Li1 0.000 0.000 0.000
Mn1 0.500 0.500 0.500
N1 0.500 0.500 0.000
O1 0.000 0.500 0.500
O2 0.500 0.000 0.500
# Crystal system = tetragonal
# DFT total energy = -29.30 eV for the cell shown